1.
A relaxed Tm4Sc5In crystal, computed with GGA-PBE.

## Properties
E_form: 0.096 eV/atom
M_tot: 0.00 μB per formula unit
SG: I4mm (107)

The structure in POSCAR format:
```
Tm4Sc5In
1.0
-5.0241 5.0241 2.7407
5.0241 -5.0241 2.7407
5.0241 5.0241 -2.7407
Tm Sc In
4 5 1
direct
0.0000 0.3150 0.3150
0.0000 0.6850 0.6850
0.3150 0.0000 0.3150
0.6850 0.0000 0.6850
0.2304 0.2304 0.0000
0.3208 0.3208 0.6304
0.3208 0.6904 0.0000
0.6904 0.3208 0.0000
0.6904 0.6904 0.3696
0.7440 0.7440 0.0000
```

---

2.
A relaxed InAg2PtC crystal, computed with GGA-PBE.

## Properties
E_form: 0.594 eV/atom
M_tot: 0.00 μB per formula unit
SG: P4/mmm (123)

The structure in POSCAR format:
```
InAg2PtC
1.0
5.3238 0.0000 0.0000
0.0000 5.3238 0.0000
0.0000 0.0000 3.8067
In Ag Pt C
1 2 1 1
direct
0.0000 0.0000 0.0000
0.0000 0.5000 0.5000
0.5000 0.0000 0.5000
0.5000 0.5000 0.5000
0.5000 0.5000 0.0000
```

---

3.
A relaxed LaGe3F crystal, computed with GGA-PBE.

## Properties
M_tot: 0.00 μB per formula unit
SG: Pm-3m (221)
formation energy from raw total energies: 70.5 kJ per mole of atoms

The structure in POSCAR format:
```
LaGe3F
1.0
5.7347 0.0000 0.0000
0.0000 5.7347 0.0000
0.0000 0.0000 5.7347
La Ge F
1 3 1
direct
0.0000 0.0000 0.0000
0.0000 0.0000 0.5000
0.0000 0.5000 0.0000
0.5000 0.0000 0.0000
0.5000 0.5000 0.5000
```

---

4.
A relaxed TiTcMoPt crystal, computed with GGA-PBE.

## Properties
E_form: -0.215 eV/atom
M_tot: 0.81 μB per formula unit
SG: F-43m (216)

The structure in POSCAR format:
```
TiTcMoPt
1.0
6.2790 0.0000 0.0000
0.0000 6.2790 0.0000
0.0000 0.0000 6.2790
Ti Tc Mo Pt
4 4 4 4
direct
0.0000 0.0000 0.0000
0.0000 0.5000 0.5000
0.5000 0.0000 0.5000
0.5000 0.5000 0.0000
0.0000 0.0000 0.5000
0.0000 0.5000 0.0000
0.5000 0.0000 0.0000
0.5000 0.5000 0.5000
0.2500 0.2500 0.2500
0.2500 0.7500 0.7500
0.7500 0.2500 0.7500
0.7500 0.7500 0.2500
0.2500 0.2500 0.7500
0.2500 0.7500 0.2500
0.7500 0.2500 0.2500
0.7500 0.7500 0.7500
```

---

5.
A relaxed Na2TiF5 crystal, computed with GGA-PBE.

## Properties
M_tot: 1.00 μB per formula unit
SG: P1 (1)
formation energy from raw total energies: -286.2 kJ per mole of atoms

The structure in POSCAR format:
```
Na2TiF5
1.0
5.6773 0.0000 0.0000
2.5144 5.4093 0.0000
2.5363 -0.1212 5.4014
Na Ti F
2 1 5
direct
0.0000 0.0000 0.0000
0.0011 0.4547 0.5447
0.2808 0.3982 0.9427
0.0489 0.2577 0.2128
0.0501 0.6675 0.8022
0.1663 0.6492 0.1935
0.2947 0.1744 0.7188
0.6718 0.2992 0.8446
```

---

6.
A relaxed SrTiS3 crystal, computed with GGA-PBE.

## Properties
M_tot: 0.00 μB per formula unit
SG: Pm-3m (221)
formation energy from raw total energies: -145.2 kJ per mole of atoms

The structure in POSCAR format:
```
SrTiS3
1.0
4.7694 0.0000 0.0000
0.0000 4.7694 0.0000
0.0000 0.0000 4.7694
Sr Ti S
1 1 3
direct
0.0000 0.0000 0.0000
0.5000 0.5000 0.5000
0.0000 0.5000 0.5000
0.5000 0.0000 0.5000
0.5000 0.5000 0.0000
```